No. 1
PaHRu3 PBE-GGA relaxed; raw total energy = -8.51 eV per atom
1.0
4.081 0.000 0.000
0.000 4.081 0.000
0.000 0.000 4.081
Ru Pa H
3 1 1
Direct
0.000 0.500 0.000
0.000 0.000 0.500
0.500 0.000 0.000
0.500 0.500 0.500
0.000 0.000 0.000



No. 2
PaH7Ru2 PBE-GGA relaxed; raw total energy = -5.26 eV per atom
1.0
-2.632 -2.254 0.108
1.171 -1.133 4.933
-3.336 3.847 -1.029
Pa H Ru
1 7 2
Direct
0.000 0.000 0.000
0.000 0.708 0.292
0.000 0.292 0.708
0.500 0.036 0.314
0.500 0.964 0.686
0.500 0.314 0.036
0.500 0.686 0.964
0.500 0.500 0.500
0.500 0.685 0.315
0.500 0.315 0.685



Q: The highest raw total energy belongs to which entry?
A: PaH7Ru2